Below is CsCuSN2 after structural relaxation, with properties calculated at the PBEsol level.

Results
Space group: No. 123
Uncorrected formation energy: 2.6159 eV/atom
VASP energy: -13.635 eV/cell
M_tot: 0.23 μB/f.u.

a = 4.0866 Å, b = 4.0866 Å, c = 6.2189 Å
α = 90.00°, β = 90.00°, γ = 90.00°
With the nearest neighbours (Å) after each atom.
Atoms (fractional coordinates):
1 Cs 0.0000 0.0000 0.0000  4 N 2.04
2 S 0.0000 0.0000 0.5000  4 Cu 2.89, 2 Cs 3.11
3 Cu 0.5000 0.5000 0.5000  4 S 2.89
4 N 0.0000 0.5000 0.0000  2 Cs 2.04
5 N 0.5000 0.0000 0.0000  2 Cs 2.04